# 1
{
  "formula": "RbOsF2",
  "functional": "PBE-GGA",
  "state": "relaxed",
  "de_polymorph_mev_per_atom": 0,
  "magnetic_moment_mub_per_fu": 1.3,
  "lattice_angstrom": [[1.528, 0.882, 7.914], [-1.528, 0.882, 7.914], [0.000, -1.764, 7.914]],
  "species": ["Rb", "Os", "F", "F"],
  "fractional_positions": [[0.000, 0.000, 0.000], [0.500, 0.500, 0.500], [0.415, 0.415, 0.415], [0.585, 0.585, 0.585]]
}

# 2
{
  "formula": "Ce4GaIr2",
  "functional": "PBE-GGA",
  "state": "relaxed",
  "magnetic_moment_mub_per_fu": 3.0,
  "delta_e_f_ev_per_atom": -0.498,
  "lattice_angstrom": [[2.256, 1.303, 10.223], [-2.256, 1.303, 10.223], [0.000, -2.605, 10.223]],
  "species": ["Ce", "Ce", "Ce", "Ce", "Ga", "Ir", "Ir"],
  "fractional_positions": [[0.116, 0.116, 0.116], [0.299, 0.299, 0.299], [0.701, 0.701, 0.701], [0.884, 0.884, 0.884], [0.500, 0.500, 0.500], [0.406, 0.406, 0.406], [0.594, 0.594, 0.594]]
}

# 3
{
  "formula": "YSc2ZnH",
  "functional": "PBE-GGA",
  "state": "relaxed",
  "total_energy_ev_per_atom": -4.955,
  "magnetic_moment_mub_per_fu": 1.7,
  "lattice_angstrom": [[4.492, 0.000, 0.000], [0.000, 4.492, 0.000], [0.000, 0.000, 4.651]],
  "species": ["Y", "Sc", "Sc", "Zn", "H"],
  "fractional_positions": [[0.000, 0.000, 0.000], [0.000, 0.500, 0.500], [0.500, 0.000, 0.500], [0.500, 0.500, 0.000], [0.000, 0.000, 0.500]]
}